i) # RbVRe3 | Alexandria via LeMat-Bulk | PBE | optimized geometry
data_RbVRe3
_cell_length_a 4.731
_cell_length_b 4.731
_cell_length_c 4.731
_cell_angle_alpha 90.00
_cell_angle_beta 90.00
_cell_angle_gamma 90.00
_space_group_name_H-M_alt 'P 1'
_space_group_IT_number 1
loop_
_space_group_symop_operation_xyz
'x,y,z'
loop_
_atom_site_label
_atom_site_type_symbol
_atom_site_fract_x
_atom_site_fract_y
_atom_site_fract_z
Rb1 Rb 0.500 0.500 0.500
Re1 Re 0.000 0.500 0.000
Re2 Re 0.500 0.000 0.000
Re3 Re 0.000 0.000 0.500
V1 V 0.000 0.000 0.000
# SG: Pm-3m (221)


ii) # RbVRe3 | Alexandria via LeMat-Bulk | PBE | optimized geometry
data_RbVRe3
_cell_length_a 4.640
_cell_length_b 4.640
_cell_length_c 4.640
_cell_angle_alpha 90.00
_cell_angle_beta 90.00
_cell_angle_gamma 90.00
_space_group_name_H-M_alt 'P 1'
_space_group_IT_number 1
loop_
_space_group_symop_operation_xyz
'x,y,z'
loop_
_atom_site_label
_atom_site_type_symbol
_atom_site_fract_x
_atom_site_fract_y
_atom_site_fract_z
Rb1 Rb 0.000 0.000 0.000
Re1 Re 0.000 0.500 0.000
Re2 Re 0.000 0.000 0.500
Re3 Re 0.500 0.000 0.000
V1 V 0.500 0.500 0.500
# SG: Pm-3m (221)


Q: Which of them is the most stable? A: i).